VASP calculation (meta-GGA SCAN) on a PBEsol-optimized structure of Tb3Al5O12.

Results
The calculation puts the energy at -16.32 eV per atom. The density is 6.15 g/cm3. Its energy relative to the elements, uncorrected is -3625 meV/atom.

```
Tb3Al5O12
1.0
-6.008 6.008 6.008
6.008 -6.008 6.008
6.008 6.008 -6.008
Tb Al O
12 20 48
Cartesian
3.004 1.502 0.000 Tb
6.008 3.004 -1.502 Tb
1.502 0.000 3.004 Tb
7.510 0.000 3.004 Tb
0.000 3.004 1.502 Tb
3.004 -1.502 6.008 Tb
3.004 7.510 0.000 Tb
6.008 3.004 4.506 Tb
-1.502 6.008 3.004 Tb
4.506 6.008 3.004 Tb
0.000 3.004 7.510 Tb
3.004 4.506 6.008 Tb
0.000 0.000 0.000 Al
3.004 3.004 -3.004 Al
3.004 -3.004 3.004 Al
6.008 0.000 0.000 Al
9.012 1.502 0.000 Al
6.008 -3.004 4.506 Al
4.506 6.008 -3.004 Al
4.506 0.000 3.004 Al
3.004 4.506 0.000 Al
6.008 3.004 1.502 Al
-3.004 3.004 3.004 Al
0.000 6.008 0.000 Al
0.000 0.000 6.008 Al
3.004 3.004 3.004 Al
0.000 3.004 4.506 Al
3.004 1.502 6.008 Al
1.502 6.008 3.004 Al
1.502 0.000 9.012 Al
0.000 9.012 1.502 Al
-3.004 4.506 6.008 Al
1.787 -0.367 0.616 O
7.225 3.620 -3.371 O
7.795 0.367 0.616 O
7.225 -2.388 3.371 O
5.641 -0.616 1.787 O
9.379 -1.217 2.388 O
0.616 1.787 -0.367 O
8.396 2.637 -1.217 O
3.620 3.371 -1.217 O
5.392 1.787 0.367 O
-0.367 0.616 1.787 O
3.371 -1.217 3.620 O
5.641 5.392 -1.787 O
3.371 1.217 2.388 O
3.620 -3.371 7.225 O
5.392 -1.787 5.641 O
2.388 3.371 1.217 O
6.624 4.221 0.367 O
3.371 7.225 -2.388 O
5.641 0.616 4.221 O
1.787 5.641 -0.616 O
7.225 2.388 2.637 O
1.217 2.388 3.371 O
1.787 0.367 5.392 O
4.221 5.641 0.616 O
4.791 3.620 2.637 O
-1.217 3.620 3.371 O
4.221 0.367 6.624 O
0.367 5.392 1.787 O
2.637 -1.217 8.396 O
-0.616 1.787 5.641 O
3.620 2.637 4.791 O
0.616 7.795 0.367 O
2.388 9.379 -1.217 O
2.637 4.791 3.620 O
0.367 0.616 7.795 O
2.637 7.225 2.388 O
6.375 5.392 4.221 O
0.616 4.221 5.641 O
2.388 2.637 7.225 O
-2.388 3.371 7.225 O
5.392 4.221 6.375 O
-3.371 7.225 3.620 O
0.367 6.624 4.221 O
-1.217 8.396 2.637 O
-1.787 5.641 5.392 O
-1.217 2.388 9.379 O
4.221 6.375 5.392 O
```



VASP calculation (meta-GGA SCAN) on a PBEsol-optimized structure of Li4NiOF4.

Results
The calculation puts the energy at -7.34 eV per atom. The density is 3.61 g/cm3. Its energy relative to the elements, uncorrected is -2731 meV/atom.

```
Li4NiOF4
1.0
-1.409 1.409 10.350
1.409 -1.409 10.350
1.409 1.409 -10.350
Li Ni O F
4 1 1 4
Cartesian
0.000 0.000 2.114 Li
0.000 0.000 6.166 Li
0.000 0.000 14.534 Li
0.000 0.000 18.586 Li
0.000 0.000 10.350 Ni
0.000 0.000 0.000 O
0.000 0.000 4.168 F
0.000 0.000 8.165 F
0.000 0.000 12.535 F
0.000 0.000 16.532 F
```



VASP calculation (meta-GGA SCAN) on a PBEsol-optimized structure of GaCSe2.

Results
The calculation puts the energy at -15.03 eV per atom. The density is 6.37 g/cm3. Its energy relative to the elements, uncorrected is 1619 meV/atom.

```
GaCSe2
1.0
0.000 3.149 3.149
3.149 0.000 3.149
3.149 3.149 0.000
Ga C Se
1 1 2
Cartesian
0.000 0.000 0.000 Ga
3.149 3.149 3.149 C
1.575 1.575 1.575 Se
4.724 4.724 4.724 Se
```



VASP calculation (meta-GGA SCAN) on a PBEsol-optimized structure of KPb2Au.

Results
The formation energy comes out at -0.29 eV/atom. The calculation puts the energy at -57.55 eV per atom. The density is 8.46 g/cm3.

```
KPb2Au
1.0
4.091 -2.360 0.000
4.091 2.360 0.000
-2.725 0.000 6.612
K Pb Au
1 2 1
Cartesian
0.000 0.000 0.000 K
-0.005 0.000 4.235 Pb
2.722 0.000 2.255 Pb
5.449 0.000 3.159 Au
```